DFT (GGA-PBE) results for a geometry-optimized Tb2HoThS4 structure.

abc: 6.838 3.921 6.875
angles: 90.00 109.17 90.00
Space group P2/m (No. 10)
Symmetry-distinct sites (fractional):
Tb  0.000  0.000  0.000 [1 per cell]
Tb  0.000  0.500  0.500 [1 per cell]
Ho  0.500  0.000  0.500 [1 per cell]
Th  0.500  0.500  0.000 [1 per cell]
S  0.243  0.000  0.740 [2 per cell]
S  0.249  0.500  0.257 [2 per cell]

Results
formation energy from raw total energies = -1.9423 eV/atom
energy = -53.31 eV per formula unit

***

DFT (GGA-PBE) results for a geometry-optimized Li2IrRh structure.

abc: 4.459 2.632 9.712
angles: 90.00 90.00 90.00
Space group Amm2 (No. 38)
Symmetry-distinct sites (fractional):
Li  0.000  0.000  0.000 [2 per cell]
Li  0.500  0.000  0.102 [2 per cell]
Ir  0.500  0.000  0.834 [2 per cell]
Rh  0.000  0.000  0.271 [2 per cell]

Results
calculated formation energy = -0.11 eV per atom
energy = -20.49 eV per formula unit
offset from the most stable computed form = 0.104 eV/atom

***

DFT (GGA-PBE) results for a geometry-optimized KAuSe2 structure.

abc: 7.212 7.212 7.212
angles: 90.00 90.00 90.00
Space group Fm-3m (No. 225)
Symmetry-distinct sites (fractional):
K  0.000  0.000  0.000 [4 per cell]
Au  0.000  0.000  0.500 [4 per cell]
Se  0.250  0.250  0.250 [8 per cell]

Results
formation energy from raw total energies = 0.0397 eV/atom
energy = -11.19 eV per formula unit

***

DFT (GGA-PBE) results for a geometry-optimized Th2As4Pd structure.

abc: 4.137 4.137 9.469
angles: 90.00 90.00 90.00
Space group P-4m2 (No. 115)
Symmetry-distinct sites (fractional):
Th  0.000  0.500  0.246 [2 per cell]
As  0.000  0.000  0.500 [1 per cell]
As  0.000  0.500  0.844 [2 per cell]
As  0.500  0.500  0.500 [1 per cell]
Pd  0.500  0.500  0.000 [1 per cell]

Results
calculated formation energy = -0.99 eV per atom
energy = -45.55 eV per formula unit

***

In the order shown, the computed calculated density values come out to 8.0, 9.0, 7.0, 8.9 g cm⁻³.